[1]
{
  "formula": "NaAc3Cu2O9",
  "functional": "PBE",
  "state": "relaxed",
  "energy_ev_per_atom": -6.388,
  "vol_a3_per_atom": 12.7,
  "magmom_total_mub_per_fu": 0.92,
  "space_group": "No. 164",
  "raw_formation_energy_ev_per_atom": -1.957,
  "lattice_angstrom": [[5.6264, 0.0000, 0.0000], [-2.8132, 4.8726, 0.0000], [0.0000, 0.0000, 6.9418]],
  "species": ["Na", "Ac", "Ac", "Ac", "Cu", "Cu", "O", "O", "O", "O", "O", "O", "O", "O", "O"],
  "frac_coords": [[0.0000, 0.0000, 0.0000], [0.0000, 0.0000, 0.5000], [0.3333, 0.6667, 0.1662], [0.6667, 0.3333, 0.8338], [0.3333, 0.6667, 0.6616], [0.6667, 0.3333, 0.3384], [0.0000, 0.5000, 0.5000], [0.1753, 0.3505, 0.8177], [0.1753, 0.8247, 0.8177], [0.3505, 0.1753, 0.1823], [0.5000, 0.0000, 0.5000], [0.5000, 0.5000, 0.5000], [0.6495, 0.8247, 0.8177], [0.8247, 0.1753, 0.1823], [0.8247, 0.6495, 0.1823]]
}

=====

[2]
{
  "formula": "NaAc2Cu2O6",
  "functional": "PBE",
  "state": "relaxed",
  "energy_ev_per_atom": -5.996,
  "vol_a3_per_atom": 15.6,
  "magmom_total_mub_per_fu": 2.23,
  "space_group": "No. 166",
  "raw_formation_energy_ev_per_atom": -1.680,
  "lattice_angstrom": [[2.8995, 1.6741, 5.9002], [-2.8995, 1.6741, 5.9002], [0.0000, -3.3481, 5.9002]],
  "species": ["Na", "Ac", "Ac", "Cu", "Cu", "O", "O", "O", "O", "O", "O"],
  "frac_coords": [[0.0000, 0.0000, 0.0000], [0.2107, 0.2107, 0.2107], [0.7893, 0.7893, 0.7893], [0.4251, 0.4251, 0.4251], [0.5749, 0.5749, 0.5749], [0.2069, 0.7482, 0.7482], [0.2518, 0.2518, 0.7931], [0.2518, 0.7931, 0.2518], [0.7482, 0.2069, 0.7482], [0.7482, 0.7482, 0.2069], [0.7931, 0.2518, 0.2518]]
}

=====

[3]
{
  "formula": "Na3Ac3CuO8",
  "functional": "PBE",
  "state": "relaxed",
  "energy_ev_per_atom": -5.981,
  "vol_a3_per_atom": 17.1,
  "magmom_total_mub_per_fu": 1.08,
  "space_group": "No. 12",
  "raw_formation_energy_ev_per_atom": -1.978,
  "lattice_angstrom": [[5.8809, -3.6782, 0.0000], [5.8809, 3.6782, 0.0000], [-3.7556, 0.0000, 5.9215]],
  "species": ["Na", "Na", "Na", "Ac", "Ac", "Ac", "Cu", "O", "O", "O", "O", "O", "O", "O", "O"],
  "frac_coords": [[0.0000, 0.0000, 0.0000], [0.0000, 0.5000, 0.5000], [0.5000, 0.0000, 0.5000], [0.0000, 0.5000, 0.0000], [0.5000, 0.0000, 0.0000], [0.5000, 0.5000, 0.5000], [0.0000, 0.0000, 0.5000], [0.1962, 0.1962, 0.7047], [0.2198, 0.7776, 0.2858], [0.2224, 0.7802, 0.7142], [0.2554, 0.2554, 0.2357], [0.7446, 0.7446, 0.7643], [0.7776, 0.2198, 0.2858], [0.7802, 0.2224, 0.7142], [0.8038, 0.8038, 0.2953]]
}

=====

[4]
{
  "formula": "Na3Ac2CuO6",
  "functional": "PBE",
  "state": "relaxed",
  "energy_ev_per_atom": -5.702,
  "vol_a3_per_atom": 15.6,
  "magmom_total_mub_per_fu": 1.90,
  "space_group": "No. 12",
  "raw_formation_energy_ev_per_atom": -1.867,
  "lattice_angstrom": [[3.0400, -5.4351, 0.0000], [3.0400, 5.4351, 0.0000], [-1.7773, 0.0000, 5.6578]],
  "species": ["Na", "Na", "Na", "Ac", "Ac", "Cu", "O", "O", "O", "O", "O", "O"],
  "frac_coords": [[0.0000, 0.0000, 0.0000], [0.3702, 0.6298, 0.0000], [0.6298, 0.3702, 0.0000], [0.1682, 0.8318, 0.5000], [0.8318, 0.1682, 0.5000], [0.5000, 0.5000, 0.5000], [0.1475, 0.4345, 0.2828], [0.2568, 0.2568, 0.7126], [0.4345, 0.1475, 0.2828], [0.5655, 0.8525, 0.7172], [0.7432, 0.7432, 0.2874], [0.8525, 0.5655, 0.7172]]
}

=====

[5]
{
  "formula": "NaAcCu2P2",
  "functional": "PBE",
  "state": "relaxed",
  "energy_ev_per_atom": -4.731,
  "vol_a3_per_atom": 20.2,
  "magmom_total_mub_per_fu": 0.00,
  "space_group": "No. 164",
  "delta_e_f_mev_per_atom": -658,
  "lattice_angstrom": [[4.1259, 0.0000, 0.0000], [-2.0630, 3.5732, 0.0000], [0.0000, 0.0000, 8.2136]],
  "species": ["Na", "Ac", "Cu", "Cu", "P", "P"],
  "frac_coords": [[0.0000, 0.0000, 0.0000], [0.0000, 0.0000, 0.5000], [0.3333, 0.6667, 0.2320], [0.6667, 0.3333, 0.7680], [0.3333, 0.6667, 0.7493], [0.6667, 0.3333, 0.2507]]
}

=====

[6]
{
  "formula": "NaAcCuP2",
  "functional": "PBE",
  "state": "relaxed",
  "energy_ev_per_atom": -4.564,
  "vol_a3_per_atom": 21.3,
  "magmom_total_mub_per_fu": 0.00,
  "space_group": "No. 51",
  "delta_e_f_mev_per_atom": -495,
  "lattice_angstrom": [[5.2076, 0.0000, 0.0000], [0.0000, 6.5891, 0.0000], [0.0000, 0.0000, 6.2031]],
  "species": ["Na", "Na", "Ac", "Ac", "Cu", "Cu", "P", "P", "P", "P"],
  "frac_coords": [[0.2500, 0.0000, 0.0903], [0.7500, 0.0000, 0.9097], [0.2500, 0.5000, 0.2783], [0.7500, 0.5000, 0.7217], [0.0000, 0.0000, 0.5000], [0.5000, 0.0000, 0.5000], [0.2500, 0.2417, 0.7109], [0.2500, 0.7583, 0.7109], [0.7500, 0.2417, 0.2891], [0.7500, 0.7583, 0.2891]]
}

=====

Summary of ρ in kg/m3
8508, 6765, 6103, 6062, 6021, 5859
(order as listed above)